(1)
The following is a PBE calculation of crystalline ZnHRh4 at its relaxed geometry, from Alexandria via LeMat-Bulk.

Results
The space group is No. 15. Its electronic total energy is -5.669 eV/atom.

Unit cell a=4.7472 b=4.6522 c=7.1877 alpha=85.74 beta=70.67 gamma=89.97
With the nearest neighbours (Å) after each atom.
Element x y z (fractional)
Zn  0.1663  0.7501  0.0001  10 Rh 2.58-2.81, 2 Zn 2.81
Rh  0.2427  0.2264  0.1967  1 H 2.28
Rh  0.0396  0.2885  0.6181  1 H 1.68
Rh  0.4384  0.2736  0.8038  1 H 2.28
H  0.5000  0.5000  0.5000  2 Rh 1.68
Rh  0.7573  0.7736  0.8033  1 H 2.28
Rh  0.9604  0.7115  0.3819  1 H 1.68
Rh  0.6576  0.2114  0.3818  1 H 1.68
Rh  0.5616  0.7264  0.1962  1 H 2.28
H  0.0000  0.0000  0.5000  2 Rh 1.68
Zn  0.8337  0.2499  0.9999  10 Rh 2.58-2.81, 2 Zn 2.81
Rh  0.3424  0.7886  0.6182  1 H 1.68

---

(2)
The following is a PBE calculation of crystalline Dy2TlAs at its relaxed geometry, from Alexandria via LeMat-Bulk.

Results
The space group is No. 166. Its electronic total energy is -4.955 eV/atom. The calculation puts the formation energy at -86.86 kJ per mole of atoms.

Unit cell a=4.0021 b=4.0021 c=8.2355 alpha=75.94 beta=75.94 gamma=60.00
With the nearest neighbours (Å) after each atom.
Element x y z (fractional)
Dy  0.7372  0.7372  0.7883  3 As 2.85
Tl  0.5000  0.5000  0.5000  6 Dy 3.25
As  0.0000  0.0000  0.0000  6 Dy 2.85
Dy  0.2628  0.2628  0.2117  3 As 2.85

---

(3)
The following is a PBE calculation of crystalline AlTcIr at its relaxed geometry, from Alexandria via LeMat-Bulk.

Results
The space group is No. 216. Its electronic total energy is -7.862 eV/atom. The calculation puts the formation energy at -19.83 kJ per mole of atoms.

Unit cell a=4.1600 b=4.1600 c=4.1600 alpha=60.00 beta=60.00 gamma=60.00
With the nearest neighbours (Å) after each atom.
Element x y z (fractional)
Al  0.5000  0.5000  0.5000  4 Ir 2.55
Ir  0.7500  0.7500  0.7500  4 Tc 2.55, 4 Al 2.55
Tc  0.0000  0.0000  0.0000  4 Ir 2.55

---

(4)
The following is a PBE calculation of crystalline HoPaCS at its relaxed geometry, from Alexandria via LeMat-Bulk.

Results
The raw formation energy is -1202 meV per atom. The space group is No. 160. Its electronic total energy is -8.058 eV/atom.

Unit cell a=3.6914 b=3.6914 c=6.6674 alpha=73.93 beta=73.93 gamma=60.00
With the nearest neighbours (Å) after each atom.
Element x y z (fractional)
Ho  0.9344  0.9344  0.1968  3 C 2.59, 3 S 2.76
S  0.6940  0.6940  0.9182  3 Ho 2.76, 3 Pa 2.82
C  0.1899  0.1899  0.4302  3 Pa 2.46, 3 Ho 2.59
Pa  0.4581  0.4581  0.6256  3 C 2.46

---

(5)
The following is a PBE calculation of crystalline CaHo2PbO6 at its relaxed geometry, from Alexandria via LeMat-Bulk.

Results
The raw formation energy is -2655 meV per atom. The space group is No. 146. Its electronic total energy is -7.117 eV/atom.

Unit cell a=5.7896 b=5.7897 c=6.0990 alpha=61.66 beta=61.66 gamma=60.00
With the nearest neighbours (Å) after each atom.
Element x y z (fractional)
Ho  0.0223  0.0223  0.9331  6 O 2.21-2.37
O  0.7096  0.1380  0.7535  2 Ho 2.21-2.33, 1 Pb 2.29, 1 Ca 2.31
O  0.3989  0.7096  0.7534  2 Ho 2.21-2.33, 1 Pb 2.29, 1 Ca 2.31
Pb  0.3126  0.3125  0.0623  6 O 2.20-2.29
O  0.6108  0.2183  0.2459  1 Pb 2.20, 2 Ho 2.26-2.37
O  0.2183  0.9250  0.2459  1 Pb 2.20, 2 Ho 2.26-2.37
Ho  0.5226  0.5226  0.4322  6 O 2.26-2.33
O  0.9250  0.6108  0.2459  1 Pb 2.20, 2 Ho 2.26-2.37
Ca  0.8035  0.8035  0.5895  6 O 2.31-2.48
O  0.1380  0.3989  0.7535  2 Ho 2.21-2.33, 1 Pb 2.29, 1 Ca 2.31

---

(6)
The following is a PBE calculation of crystalline Pr2Sm3In4 at its relaxed geometry, from Alexandria via LeMat-Bulk.

Results
The space group is No. 64. Its electronic total energy is -4.152 eV/atom. The calculation puts the formation energy at -28.97 kJ per mole of atoms.

Unit cell a=7.2303 b=9.3575 c=9.1072 alpha=90.00 beta=113.39 gamma=90.00
With the nearest neighbours (Å) after each atom.
Element x y z (fractional)
Sm  0.0000  0.0000  0.0000  6 In 3.01-3.11
Sm  0.0291  0.7500  0.5583  5 In 3.14-3.27
Sm  0.4709  0.2500  0.4417  5 In 3.14-3.27
Pr  0.3920  0.0729  0.7840  5 In 3.40-3.74, 2 Sm 3.77
In  0.6848  0.5337  0.3696  5 Sm 3.11-3.27
Sm  0.5000  0.5000  0.0000  6 In 3.01-3.11
In  0.2832  0.2500  0.0664  3 Sm 3.01-3.14
Pr  0.6080  0.9271  0.2160  5 In 3.40-3.74, 2 Sm 3.77
In  0.7832  0.2500  0.0664  3 Sm 3.01-3.14
In  0.7168  0.7500  0.9336  3 Sm 3.01-3.14
Sm  0.9709  0.2500  0.4417  5 In 3.14-3.27
In  0.2168  0.7500  0.9336  3 Sm 3.01-3.14
In  0.3152  0.4663  0.6304  5 Sm 3.11-3.27
Pr  0.1080  0.5729  0.2160  5 In 3.40-3.74, 2 Sm 3.77
Pr  0.8920  0.4271  0.7840  5 In 3.40-3.74, 2 Sm 3.77
In  0.8152  0.0337  0.6304  5 Sm 3.11-3.27
Sm  0.5291  0.7500  0.5583  5 In 3.14-3.27
In  0.1848  0.9663  0.3696  5 Sm 3.11-3.27

---

| no. | calculated density (g cm⁻³) |
| --- | --- |
| 1 | 10.6 |
| 2 | 9.2 |
| 3 | 10.3 |
| 4 | 9.8 |
| 5 | 7.5 |
| 6 | 7.0 |